No. 1
Density functional theory data (GGA-PBE) for an optimized crystal structure of CePu2Al9.

The structure belongs to space group R-3m (No. 166, hexagonal axes); the cell edges are 5.5411, 5.5411 and 26.5194 Å and the angles 90.00°, 90.00° and 120.00°. The asymmetric unit holds Ce at (0.0000, 0.0000, 0.0000), Pu at (0.0000, 0.0000, 0.1429), Al at (0.0000, 0.0000, 0.3347), Al at (0.0000, 0.0000, 0.5000) and Al at (0.0059, 0.5030, 0.9168).

The volume comes out at 19.6 Å³ per atom. The crystal system is trigonal. As for the final energy: -215.90 eV/cell. As for the formation energy: -355.8 kJ/mol of formula units.

=====

No. 2
Density functional theory data (GGA-PBE) for an optimized crystal structure of SrTaRe2.

The structure belongs to space group Pmm2 (No. 25); the cell edges are 2.995, 3.832 and 7.670 Å and the angles 90.00°, 90.00° and 90.00°. The asymmetric unit holds Sr at (0.000, 0.000, 0.000), Ta at (0.500, 0.500, 0.354), Re at (0.000, 0.000, 0.534) and Re at (0.500, 0.500, 0.678).

The volume comes out at 22.0 Å³ per atom. The crystal system is orthorhombic. As for the final energy: -36.05 eV/cell. As for the formation energy: 229.9 kJ/mol of formula units.

=====

No. 3
Density functional theory data (GGA-PBE) for an optimized crystal structure of Ba3Nd2UP6.

The structure belongs to space group C2/m (No. 12); the cell edges are 7.398, 12.806 and 7.736 Å and the angles 90.00°, 108.60° and 90.00°. The asymmetric unit holds Ba at (0.000, 0.000, 0.000), Ba at (0.000, 0.329, 0.000), Nd at (0.000, 0.166, 0.500), U at (0.000, 0.500, 0.500), P at (0.222, 0.346, 0.704) and P at (0.238, 0.500, 0.294).

The volume comes out at 28.9 Å³ per atom. The crystal system is monoclinic. As for the final energy: -145.77 eV/cell. As for the formation energy: -1334.8 kJ/mol of formula units.